No. 1
A plane-wave DFT calculation with GGA-PBE was carried out for Mn2MoRu after structural relaxation.

Unit cell a=3.149 b=4.081 c=4.205 alpha=90.00 beta=90.00 gamma=90.00
Space group Pmmm (No. 47)
Asymmetric unit:
Mn: 0.000 0.000 0.000 x1
Mn: 0.500 0.000 0.500 x1
Mo: 0.000 0.500 0.500 x1
Ru: 0.500 0.500 0.000 x1

Calculated values
crystal system = orthorhombic
ΔH_f (0 K) = 0.43 eV/f.u.

=====

No. 2
A plane-wave DFT calculation with GGA-PBE was carried out for Tl2IrN after structural relaxation.

Unit cell a=6.580 b=6.580 c=6.580 alpha=90.00 beta=90.00 gamma=90.00
Space group Fm-3m (No. 225)
Asymmetric unit:
Tl: 0.250 0.250 0.250 x8
Ir: 0.000 0.000 0.000 x4
N: 0.000 0.000 0.500 x4

Calculated values
crystal system = cubic
E above lowest polymorph = 0.2626 eV/atom
formation energy (no corrections) = 1.4150 eV per atom

=====

No. 3
A plane-wave DFT calculation with GGA-PBE was carried out for Zr2Tl2Au after structural relaxation.

Unit cell a=7.289 b=7.289 c=4.319 alpha=90.00 beta=90.00 gamma=90.00
Space group P4/mbm (No. 127)
Asymmetric unit:
Zr: 0.164 0.336 0.000 x4
Tl: 0.141 0.641 0.500 x4
Au: 0.000 0.000 0.500 x2

Calculated values
crystal system = tetragonal
E above lowest polymorph = 0.0032 eV/atom
ΔH_f (0 K) = 0.23 eV/f.u.

=====

No. 4
A plane-wave DFT calculation with GGA-PBE was carried out for Ac2Sn3BiAu6 after structural relaxation.

Unit cell a=4.679 b=4.679 c=16.959 alpha=90.00 beta=90.00 gamma=90.00
Space group P4/mmm (No. 123)
Asymmetric unit:
Ac: 0.000 0.000 0.233 x2
Sn: 0.500 0.500 0.000 x1
Sn: 0.500 0.500 0.308 x2
Bi: 0.000 0.000 0.500 x1
Au: 0.000 0.500 0.389 x4
Au: 0.500 0.500 0.152 x2

Calculated values
crystal system = tetragonal
ΔH_f (0 K) = -3.04 eV/f.u.

=====

No. 5
A plane-wave DFT calculation with GGA-PBE was carried out for PmTmNi after structural relaxation.

Unit cell a=4.5155 b=4.5155 c=4.1529 alpha=90.00 beta=90.00 gamma=120.00
Space group P3m1 (No. 156)
Asymmetric unit:
Pm: 0.0000 0.0000 0.0000 x1
Tm: 0.6667 0.3333 0.4897 x1
Ni: 0.3333 0.6667 0.6695 x1

Calculated values
crystal system = trigonal
E above lowest polymorph = 0.1985 eV/atom
ΔH_f (0 K) = -0.22 eV/f.u.

=====

No. 6
A plane-wave DFT calculation with GGA-PBE was carried out for NdCo2 after structural relaxation.

Unit cell a=7.318 b=7.318 c=7.318 alpha=90.00 beta=90.00 gamma=90.00
Space group Fd-3m (No. 227, origin choice 2)
Asymmetric unit:
Nd: 0.125 0.125 0.125 x8
Co: 0.000 0.000 0.500 x16

Calculated values
crystal system = cubic
ΔH_f (0 K) = -0.08 eV/f.u.

=====

No. 7
A plane-wave DFT calculation with GGA-PBE was carried out for ScFeSi2 after structural relaxation.

Unit cell a=4.068 b=4.068 c=6.833 alpha=90.00 beta=90.00 gamma=90.00
Space group I4/mmm (No. 139)
Asymmetric unit:
Sc: 0.000 0.000 0.000 x2
Fe: 0.000 0.000 0.500 x2
Si: 0.000 0.500 0.250 x4

Calculated values
crystal system = tetragonal
formation energy (no corrections) = -0.1939 eV per atom

=====

No. 8
A plane-wave DFT calculation with GGA-PBE was carried out for CsGaP after structural relaxation.

Unit cell a=3.885 b=9.681 c=10.868 alpha=90.00 beta=90.00 gamma=90.00
Space group Immm (No. 71)
Asymmetric unit:
Cs: 0.000 0.000 0.195 x4
Ga: 0.000 0.370 0.000 x4
P: 0.000 0.262 0.500 x4

Calculated values
crystal system = orthorhombic
E above lowest polymorph = 0.0000 eV/atom
ΔH_f (0 K) = -1.08 eV/f.u.

=====

no.,E_tot (eV/cell)
1,-38.0
2,-65.0
3,-49.7
4,-46.8
5,-15.2
6,-152.5
7,-52.8
8,-41.5